1.
LiAl2Ga4: optimized geometry, PBE.

Unit cell a=9.7810 b=9.7810 c=9.7810 alpha=130.99 beta=130.99 gamma=71.83
Closest atoms and distances in Å follow each position.
Fractional positions:
Li: 0.0000 0.0000 0.0000  6 Ga 2.70-2.82, 4 Al 2.94
Li: 0.0000 0.0000 0.5000  6 Ga 2.70-2.82, 4 Al 2.94
Li: 0.0000 0.5000 0.0000  6 Ga 2.70-2.82, 4 Al 2.94
Li: 0.5000 0.0000 0.5000  6 Ga 2.70-2.82, 4 Al 2.94
Al: 0.2497 0.2627 0.5131  8 Ga 2.78-2.90, 2 Li 2.94
Al: 0.2497 0.7366 0.9869  8 Ga 2.78-2.90, 2 Li 2.94
Al: 0.2627 0.2497 0.0131  8 Ga 2.78-2.90, 2 Li 2.94
Al: 0.2634 0.7503 0.5131  8 Ga 2.78-2.90, 2 Li 2.94
Al: 0.7366 0.2497 0.4869  8 Ga 2.78-2.90, 2 Li 2.94
Al: 0.7373 0.7503 0.9869  8 Ga 2.78-2.90, 2 Li 2.94
Al: 0.7503 0.2634 0.0131  8 Ga 2.78-2.90, 2 Li 2.94
Al: 0.7503 0.7373 0.4869  8 Ga 2.78-2.90, 2 Li 2.94
Ga: 0.0000 0.5000 0.5000  4 Al 2.79, 6 Ga 2.85-2.98
Ga: 0.1125 0.3625 0.7500  2 Li 2.70, 4 Al 2.78-2.90, 6 Ga 2.88-2.98
Ga: 0.1221 0.3721 0.2442  4 Al 2.82-2.86, 2 Li 2.82, 4 Ga 2.85-2.88
Ga: 0.1221 0.8779 0.7500  4 Al 2.82-2.86, 2 Li 2.82, 4 Ga 2.85-2.88
Ga: 0.3625 0.1125 0.2500  2 Li 2.70, 4 Al 2.78-2.90, 6 Ga 2.88-2.98
Ga: 0.3721 0.1221 0.7442  4 Al 2.82-2.86, 2 Li 2.82, 4 Ga 2.85-2.88
Ga: 0.3721 0.6279 0.2500  4 Al 2.82-2.86, 2 Li 2.82, 4 Ga 2.85-2.88
Ga: 0.5000 0.0000 0.0000  4 Al 2.79, 6 Ga 2.85-2.98
Ga: 0.5000 0.5000 0.0000  4 Al 2.79, 6 Ga 2.85-2.98
Ga: 0.5000 0.5000 0.5000  4 Al 2.79, 6 Ga 2.85-2.98
Ga: 0.6279 0.3721 0.7500  4 Al 2.82-2.86, 2 Li 2.82, 4 Ga 2.85-2.88
Ga: 0.6279 0.8779 0.2558  4 Al 2.82-2.86, 2 Li 2.82, 4 Ga 2.85-2.88
Ga: 0.6375 0.8875 0.7500  2 Li 2.70, 4 Al 2.78-2.90, 6 Ga 2.88-2.98
Ga: 0.8779 0.1221 0.2500  4 Al 2.82-2.86, 2 Li 2.82, 4 Ga 2.85-2.88
Ga: 0.8779 0.6279 0.7558  4 Al 2.82-2.86, 2 Li 2.82, 4 Ga 2.85-2.88
Ga: 0.8875 0.6375 0.2500  2 Li 2.70, 4 Al 2.78-2.90, 6 Ga 2.88-2.98

Results
M_tot = 0.000 μB per atom
formation energy = 0.013 eV per atom
uncorrected energy = -3.059 eV per atom
DOS at the Fermi energy = 10.503 states/eV/cell
relative energy among the computed polymorphs = 22 meV per atom
symmetry = I4_1/amd, No. 141

***

2.
Li5AlGa8: optimized geometry, PBE.

Unit cell a=6.8336 b=6.8336 c=6.8336 alpha=114.14 beta=114.14 gamma=100.50
Closest atoms and distances in Å follow each position.
Fractional positions:
Li: 0.0000 0.0000 0.0000  8 Ga 2.65-2.72
Li: 0.2904 0.6372 0.0675  8 Ga 2.70-3.01, 2 Li 2.90
Li: 0.3628 0.4303 0.6531  8 Ga 2.70-3.01, 2 Li 2.90
Li: 0.5697 0.2228 0.9325  8 Ga 2.70-3.01, 2 Li 2.90
Li: 0.7772 0.7096 0.3469  8 Ga 2.70-3.01, 2 Li 2.90
Al: 0.7500 0.2500 0.5000  4 Ga 2.67
Ga: 0.0428 0.4460 0.2691  3 Ga 2.63-2.72, 4 Li 2.70-2.83
Ga: 0.1023 0.1541 0.7409  5 Li 2.65-2.77, 1 Al 2.67, 3 Ga 2.71-2.78
Ga: 0.1770 0.7737 0.7309  3 Ga 2.63-2.72, 4 Li 2.70-2.83
Ga: 0.2263 0.9572 0.4032  3 Ga 2.63-2.72, 4 Li 2.70-2.83
Ga: 0.4131 0.3614 0.2591  5 Li 2.65-2.77, 1 Al 2.67, 3 Ga 2.71-2.78
Ga: 0.5540 0.8230 0.5968  3 Ga 2.63-2.72, 4 Li 2.70-2.83
Ga: 0.6386 0.8977 0.0518  5 Li 2.65-2.77, 1 Al 2.67, 3 Ga 2.71-2.78
Ga: 0.8459 0.5869 0.9482  5 Li 2.65-2.77, 1 Al 2.67, 3 Ga 2.71-2.78

Results
M_tot = 0.000 μB per atom
formation energy = -0.163 eV per atom
uncorrected energy = -2.844 eV per atom
DOS at the Fermi energy = 3.036 states/eV/cell
symmetry = I-4, No. 82

***

3.
LiAlGa14: optimized geometry, PBE.

Unit cell a=6.1225 b=6.1225 c=7.8384 alpha=90.00 beta=90.00 gamma=95.74
Closest atoms and distances in Å follow each position.
Fractional positions:
Li: 0.0000 0.0000 0.0000  12 Ga 2.82-3.06
Al: 0.5000 0.5000 0.0000  12 Ga 2.80-3.06
Ga: 0.0000 0.0000 0.5000  12 Ga 2.88-3.06
Ga: 0.0000 0.5000 0.0000  8 Ga 2.82-2.97, 2 Li 3.06, 2 Al 3.06
Ga: 0.0000 0.5000 0.5000  12 Ga 2.86-3.06
Ga: 0.2455 0.7545 0.2470  10 Ga 2.82-3.08, 1 Li 2.95, 1 Al 3.01
Ga: 0.2455 0.7545 0.7530  10 Ga 2.82-3.08, 1 Li 2.95, 1 Al 3.01
Ga: 0.2516 0.2516 0.2448  1 Al 2.80, 1 Li 2.82, 10 Ga 2.86-3.08
Ga: 0.2516 0.2516 0.7552  1 Al 2.80, 1 Li 2.82, 10 Ga 2.86-3.08
Ga: 0.5000 0.0000 0.0000  8 Ga 2.82-2.97, 2 Li 3.06, 2 Al 3.06
Ga: 0.5000 0.0000 0.5000  12 Ga 2.86-3.06
Ga: 0.5000 0.5000 0.5000  12 Ga 2.86-3.06
Ga: 0.7484 0.7484 0.2448  1 Al 2.80, 1 Li 2.82, 10 Ga 2.86-3.08
Ga: 0.7484 0.7484 0.7552  1 Al 2.80, 1 Li 2.82, 10 Ga 2.86-3.08
Ga: 0.7545 0.2455 0.2470  10 Ga 2.82-3.08, 1 Li 2.95, 1 Al 3.01
Ga: 0.7545 0.2455 0.7530  10 Ga 2.82-3.08, 1 Li 2.95, 1 Al 3.01

Results
M_tot = 0.000 μB per atom
formation energy = -0.020 eV per atom
uncorrected energy = -3.022 eV per atom
DOS at the Fermi energy = 5.304 states/eV/cell
symmetry = Cmmm, No. 65

***

4.
Li7AlGa2: optimized geometry, PBE.

Unit cell a=7.5429 b=7.5429 c=4.6928 alpha=90.00 beta=90.00 gamma=126.39
Closest atoms and distances in Å follow each position.
Fractional positions:
Li: 0.0000 0.0000 0.0000  4 Li 2.65, 2 Ga 2.80
Li: 0.2134 0.4330 0.0000  2 Li 2.41-2.65, 1 Ga 2.57
Li: 0.2877 0.7123 0.5000  2 Ga 2.58, 1 Al 2.86
Li: 0.4330 0.2134 0.0000  2 Li 2.41-2.65, 1 Ga 2.57
Li: 0.5670 0.7866 0.0000  2 Li 2.41-2.65, 1 Ga 2.57
Li: 0.7123 0.2877 0.5000  2 Ga 2.58, 1 Al 2.86
Li: 0.7866 0.5670 0.0000  2 Li 2.41-2.65, 1 Ga 2.57
Al: 0.5000 0.5000 0.5000  10 Li 2.86-3.02
Ga: 0.2082 0.7918 0.0000  7 Li 2.57-2.80
Ga: 0.7918 0.2082 0.0000  7 Li 2.57-2.80

Results
M_tot = 0.000 μB per atom
formation energy = 0.143 eV per atom
uncorrected energy = -2.176 eV per atom
DOS at the Fermi energy = 5.650 states/eV/cell
symmetry = Cmmm, No. 65

***

5.
LiAlGa3: optimized geometry, PBE.

Unit cell a=4.4847 b=6.3229 c=6.5202 alpha=90.00 beta=90.00 gamma=90.00
Closest atoms and distances in Å follow each position.
Fractional positions:
Li: 0.2500 0.2500 0.2332  6 Ga 2.90-2.96, 2 Al 2.98
Li: 0.7500 0.7500 0.7668  6 Ga 2.90-2.96, 2 Al 2.98
Al: 0.2500 0.7500 0.0678  7 Ga 2.62-2.81
Al: 0.7500 0.2500 0.9322  7 Ga 2.62-2.81
Ga: 0.2500 0.0414 0.7678  2 Ga 2.64-2.68, 3 Al 2.69-2.81, 2 Li 2.90
Ga: 0.2500 0.4586 0.7678  2 Ga 2.64-2.68, 3 Al 2.69-2.81, 2 Li 2.90
Ga: 0.2500 0.7500 0.4695  1 Al 2.62, 2 Ga 2.68
Ga: 0.7500 0.2500 0.5305  1 Al 2.62, 2 Ga 2.68
Ga: 0.7500 0.5414 0.2322  2 Ga 2.64-2.68, 3 Al 2.69-2.81, 2 Li 2.90
Ga: 0.7500 0.9586 0.2322  2 Ga 2.64-2.68, 3 Al 2.69-2.81, 2 Li 2.90

Results
M_tot = 0.000 μB per atom
formation energy = -0.051 eV per atom
uncorrected energy = -2.999 eV per atom
DOS at the Fermi energy = 3.077 states/eV/cell
relative energy among the computed polymorphs = 0 meV per atom
symmetry = Pmmn, No. 59

***

6.
Li4AlGa: optimized geometry, PBE.

Unit cell a=7.5235 b=7.5235 c=2.7766 alpha=100.56 beta=100.56 gamma=39.10
Closest atoms and distances in Å follow each position.
Fractional positions:
Li: 0.0000 0.0000 0.0000  6 Li 2.64-2.78, 4 Al 2.87-2.88
Li: 0.0839 0.5830 0.8336  6 Li 2.51-2.78
Li: 0.1639 0.1639 0.6639  6 Li 2.67-2.78, 4 Ga 2.88
Li: 0.5830 0.0839 0.8336  6 Li 2.51-2.78
Al: 0.4976 0.4976 0.4973  2 Al 2.78, 2 Ga 2.83-2.84, 8 Li 2.87-2.95
Ga: 0.6753 0.6753 0.1755  2 Ga 2.78, 2 Al 2.83-2.84, 8 Li 2.88-2.89

Results
M_tot = 0.000 μB per atom
formation energy = -0.084 eV per atom
uncorrected energy = -2.488 eV per atom
DOS at the Fermi energy = 2.001 states/eV/cell
relative energy among the computed polymorphs = 133 meV per atom
symmetry = Cm, No. 8

***

7.
Li8AlGa6: optimized geometry, PBE.

Unit cell a=6.9829 b=6.9829 c=6.9829 alpha=63.80 beta=63.80 gamma=63.80
Closest atoms and distances in Å follow each position.
Fractional positions:
Li: 0.0966 0.6739 0.3583  5 Ga 2.71-3.01, 4 Li 2.76-2.92, 1 Al 2.96
Li: 0.1067 0.1067 0.1067  6 Ga 2.60-2.79, 3 Li 2.76
Li: 0.3261 0.6417 0.9034  5 Ga 2.71-3.01, 4 Li 2.76-2.92, 1 Al 2.96
Li: 0.3583 0.0966 0.6739  5 Ga 2.71-3.01, 4 Li 2.76-2.92, 1 Al 2.96
Li: 0.6417 0.9034 0.3261  5 Ga 2.71-3.01, 4 Li 2.76-2.92, 1 Al 2.96
Li: 0.6739 0.3583 0.0966  5 Ga 2.71-3.01, 4 Li 2.76-2.92, 1 Al 2.96
Li: 0.8933 0.8933 0.8933  6 Ga 2.60-2.79, 3 Li 2.76
Li: 0.9034 0.3261 0.6417  5 Ga 2.71-3.01, 4 Li 2.76-2.92, 1 Al 2.96
Al: 0.5000 0.5000 0.5000  6 Ga 2.68, 6 Li 2.96
Ga: 0.0926 0.4906 0.7924  6 Li 2.60-2.80, 1 Ga 2.64, 1 Al 2.68
Ga: 0.2076 0.9074 0.5094  6 Li 2.60-2.80, 1 Ga 2.64, 1 Al 2.68
Ga: 0.4906 0.7924 0.0926  6 Li 2.60-2.80, 1 Ga 2.64, 1 Al 2.68
Ga: 0.5094 0.2076 0.9074  6 Li 2.60-2.80, 1 Ga 2.64, 1 Al 2.68
Ga: 0.7924 0.0926 0.4906  6 Li 2.60-2.80, 1 Ga 2.64, 1 Al 2.68
Ga: 0.9074 0.5094 0.2076  6 Li 2.60-2.80, 1 Ga 2.64, 1 Al 2.68

Results
M_tot = 0.000 μB per atom
formation energy = -0.214 eV per atom
uncorrected energy = -2.695 eV per atom
DOS at the Fermi energy = 4.038 states/eV/cell
symmetry = R-3, No. 148

***

8.
LiAlGa2: optimized geometry, PBE.

Unit cell a=4.0895 b=4.0895 c=3.9124 alpha=90.00 beta=90.00 gamma=90.00
Closest atoms and distances in Å follow each position.
Fractional positions:
Li: 0.0000 0.0000 0.0000  8 Ga 2.83, 4 Al 2.89
Al: 0.5000 0.5000 0.0000  8 Ga 2.83, 4 Li 2.89
Ga: 0.0000 0.5000 0.5000  4 Li 2.83, 4 Al 2.83, 4 Ga 2.89
Ga: 0.5000 0.0000 0.5000  4 Li 2.83, 4 Al 2.83, 4 Ga 2.89

Results
M_tot = 0.000 μB per atom
formation energy = -0.140 eV per atom
uncorrected energy = -3.068 eV per atom
DOS at the Fermi energy = 2.106 states/eV/cell
symmetry = P4/mmm, No. 123